# 1
Computed, not measured: NaAcSe2 after structural relaxation at the PBE-GGA level of DFT.

Output
- ΔE_f (raw): -1.501 eV per atom
- E_tot: -4.60 eV per atom
- N(E_F): 0.188 states/eV/atom

Cell: 5.2747 5.2747 3.8337 Å, 90.00 90.00 90.00°
Space group P4/mmm (No. 123)
Asymmetric unit:
1 Na 0.0000 0.0000 0.0000 (multiplicity 1)
2 Ac 0.5000 0.5000 0.0000 (multiplicity 1)
3 Se 0.0000 0.5000 0.5000 (multiplicity 2)

***

# 2
Computed, not measured: KIn2SnSe6 after structural relaxation at the PBE-GGA level of DFT.

Output
- ΔE_f (raw): -0.482 eV per atom
- E_tot: -3.63 eV per atom
- N(E_F): 0.209 states/eV/atom

Cell: 14.6698 13.3524 8.4909 Å, 90.00 120.73 90.00°
Space group C2/c (No. 15)
Asymmetric unit:
1 K 0.0000 0.1692 0.2500 (multiplicity 4)
2 In 0.1858 0.4246 0.0783 (multiplicity 8)
3 Sn 0.0000 0.1575 0.7500 (multiplicity 4)
4 Se 0.1121 0.4423 0.3191 (multiplicity 8)
5 Se 0.1150 0.0465 0.6671 (multiplicity 8)
6 Se 0.1358 0.2347 0.0582 (multiplicity 8)

***

# 3
Computed, not measured: La2Tb6SmEr after structural relaxation at the PBE-GGA level of DFT.

Output
- E_tot: -4.57 eV per atom
- Energy of formation: 0.117 eV/atom
- N(E_F): 1.452 states/eV/atom

Cell: 9.0710 15.0382 9.9204 Å, 90.00 100.16 90.00°
Space group C2/c (No. 15)
Asymmetric unit:
1 La 0.2417 0.0484 0.0417 (multiplicity 8)
2 Tb 0.0721 0.1923 0.4430 (multiplicity 8)
3 Tb 0.0965 0.3949 0.6192 (multiplicity 8)
4 Tb 0.2009 0.2210 0.8111 (multiplicity 8)
5 Sm 0.0000 0.0126 0.7500 (multiplicity 4)
6 Er 0.0000 0.4050 0.2500 (multiplicity 4)